Below is a geometry-optimized MgV3O7 structure, with properties calculated at the PBE+U level.

Cell: 10.1974 10.2518 5.3736 Å, 90.00 90.00 90.00°
Closest atoms and distances in Å follow each position.
Atoms (fractional coordinates):
Mg1 0.0694 0.2500 0.1313  5 O 2.05-2.16
Mg2 0.4306 0.7500 0.6313  5 O 2.05-2.16
Mg3 0.5694 0.2500 0.3687  5 O 2.05-2.16
Mg4 0.9306 0.7500 0.8687  5 O 2.05-2.16
V1 0.1841 0.5285 0.7190  1 O 1.67
V2 0.1841 0.9715 0.7190  1 O 1.67
V3 0.2179 0.7500 0.2092  1 O 1.67
V4 0.2821 0.2500 0.7092  1 O 1.67
V5 0.3159 0.0285 0.2190  1 O 1.67
V6 0.3159 0.4715 0.2190  1 O 1.67
V7 0.6841 0.5285 0.7810  1 O 1.67
V8 0.6841 0.9715 0.7810  1 O 1.67
V9 0.7179 0.7500 0.2908  1 O 1.67
V10 0.7821 0.2500 0.7908  1 O 1.67
V11 0.8159 0.0285 0.2810  1 O 1.67
V12 0.8159 0.4715 0.2810  1 O 1.67
O1 0.0353 0.5959 0.7289  1 V 1.67
O2 0.0353 0.9041 0.7289  1 V 1.67
O3 0.0546 0.7500 0.1869  1 V 1.67
O4 0.2103 0.1212 0.9576  3 V 2.01-2.02, 1 Mg 2.16
O5 0.2103 0.3788 0.9576  3 V 2.01-2.02, 1 Mg 2.16
O6 0.2164 0.1163 0.4819  3 V 1.95-1.98
O7 0.2164 0.3837 0.4819  3 V 1.95-1.98
O8 0.2836 0.6163 0.9819  3 V 1.95-1.98
O9 0.2836 0.8837 0.9819  3 V 1.95-1.98
O10 0.2897 0.6212 0.4576  3 V 2.01-2.02, 1 Mg 2.16
O11 0.2897 0.8788 0.4576  3 V 2.01-2.02, 1 Mg 2.16
O12 0.4454 0.2500 0.6869  1 V 1.67
O13 0.4647 0.0959 0.2289  1 V 1.67
O14 0.4647 0.4041 0.2289  1 V 1.67
O15 0.5353 0.5959 0.7711  1 V 1.67
O16 0.5353 0.9041 0.7711  1 V 1.67
O17 0.5546 0.7500 0.3131  1 V 1.67
O18 0.7103 0.1212 0.5424  3 V 2.01-2.02, 1 Mg 2.16
O19 0.7103 0.3788 0.5424  3 V 2.01-2.02, 1 Mg 2.16
O20 0.7164 0.1163 0.0181  3 V 1.95-1.98
O21 0.7164 0.3837 0.0181  3 V 1.95-1.98
O22 0.7836 0.6163 0.5181  3 V 1.95-1.98
O23 0.7836 0.8837 0.5181  3 V 1.95-1.98
O24 0.7897 0.6212 0.0424  3 V 2.01-2.02, 1 Mg 2.16
O25 0.7897 0.8788 0.0424  3 V 2.01-2.02, 1 Mg 2.16
O26 0.9454 0.2500 0.8131  1 V 1.67
O27 0.9647 0.0959 0.2711  1 V 1.67
O28 0.9647 0.4041 0.2711  1 V 1.67

Calculated values
* density of states at the Fermi level: 0.000 states/eV/cell
* symmetry: Pnma
* electronic total energy: -327.35 eV for the cell shown